DFT (PBE) results for crystalline HSe2Cl at its relaxed geometry.

The structure in POSCAR format:
```
HSe2Cl
1.0
7.899 0.549 7.359
8.870 -1.778 5.917
9.547 0.891 4.992
H Se Cl
1 2 1
direct
0.000 0.000 0.000
0.944 0.944 0.944
0.056 0.056 0.056
0.500 0.500 0.500
```

Properties
**Volume**: 19.5 Å³ per atom
**Offset from the most stable computed form**: 0 meV per atom